Density functional theory data (PBE) for crystalline Cd2PW at its relaxed geometry.

Unit cell a=2.858 b=2.858 c=9.283 alpha=90.00 beta=90.00 gamma=103.99
Positions (direct):
1 Cd 0.000 0.000 0.248
2 Cd 0.000 0.000 0.752
3 P 0.500 0.500 0.500
4 W 0.500 0.500 0.000

Results
- energy relative to the elements (meV per atom) = 639
- magnetization (μB per cell) = 0.00
- DOS(E_F) (states/eV/atom) = 0.827